(1)
# PmPr2Bi (PBE, relaxed)
data_PmPr2Bi
_space_group_name_H-M_alt 'P 4/m m m'
_space_group_IT_number 123
_space_group_name_Hall '-P 4 2'
_cell_length_a 4.3212
_cell_length_b 4.3212
_cell_length_c 7.1028
_cell_angle_alpha 90.00
_cell_angle_beta 90.00
_cell_angle_gamma 90.00
loop_
_atom_site_label
_atom_site_type_symbol
_atom_site_fract_x
_atom_site_fract_y
_atom_site_fract_z
Pm1 Pm 0.0000 0.0000 0.0000
Pr1 Pr 0.5000 0.5000 0.2714
Bi1 Bi 0.0000 0.0000 0.5000
# * E_form: -383 meV/atom
# * crystal system: tetragonal
# * ΔE to the lowest computed polymorph: 57 meV/atom
# * electronic total energy: -4.93 eV per atom
# * calculated volume: 33.16 Å³/atom
# * total moment: 0.00 μB per formula unit

---

(2)
# Pm3PrBi3 (PBE, relaxed)
data_Pm3PrBi3
_space_group_name_H-M_alt 'P 21 3'
_space_group_IT_number 198
_space_group_name_Hall 'P 2ac 2ab 3'
_cell_length_a 9.6651
_cell_length_b 9.6651
_cell_length_c 9.6651
_cell_angle_alpha 90.00
_cell_angle_beta 90.00
_cell_angle_gamma 90.00
loop_
_atom_site_label
_atom_site_type_symbol
_atom_site_fract_x
_atom_site_fract_y
_atom_site_fract_z
Pm1 Pm 0.0729 0.4271 0.5729
Pm2 Pm 0.1790 0.1790 0.1790
Pm3 Pm 0.1797 0.8203 0.3203
Pr1 Pr 0.0708 0.5708 0.9292
Bi1 Bi 0.0007 0.7476 0.6233
# * E_form: -828 meV/atom
# * crystal system: cubic
# * ΔE to the lowest computed polymorph: 0 meV/atom
# * electronic total energy: -5.21 eV per atom
# * calculated volume: 32.24 Å³/atom
# * total moment: 0.00 μB per formula unit

---

(3)
# Pm2Pr3Bi2 (PBE, relaxed)
data_Pm2Pr3Bi2
_space_group_name_H-M_alt 'C 1 2/m 1'
_space_group_IT_number 12
_cell_length_a 17.3437
_cell_length_b 4.1172
_cell_length_c 7.6275
_cell_angle_alpha 90.00
_cell_angle_beta 115.70
_cell_angle_gamma 90.00
loop_
_space_group_symop_operation_xyz
'x,y,z'
'-x,-y,-z'
'-x,y,-z'
'x,-y,z'
'x+1/2,y+1/2,z'
'-x+1/2,-y+1/2,-z'
'-x+1/2,y+1/2,-z'
'x+1/2,-y+1/2,z'
loop_
_atom_site_label
_atom_site_type_symbol
_atom_site_fract_x
_atom_site_fract_y
_atom_site_fract_z
Pm1 Pm 0.1110 0.0000 0.2254
Pr1 Pr 0.0000 0.0000 0.5000
Pr2 Pr 0.2132 0.0000 0.7699
Bi1 Bi 0.0795 0.5000 0.8717
# * E_form: -314 meV/atom
# * crystal system: monoclinic
# * electronic total energy: -4.83 eV per atom
# * calculated volume: 35.06 Å³/atom
# * total moment: 0.92 μB per formula unit

---

(4)
# Pm3PrBi4 (PBE, relaxed)
data_Pm3PrBi4
_space_group_name_H-M_alt 'P m -3 m'
_space_group_IT_number 221
_space_group_name_Hall '-P 4 2 3'
_cell_length_a 6.4940
_cell_length_b 6.4940
_cell_length_c 6.4940
_cell_angle_alpha 90.00
_cell_angle_beta 90.00
_cell_angle_gamma 90.00
loop_
_atom_site_label
_atom_site_type_symbol
_atom_site_fract_x
_atom_site_fract_y
_atom_site_fract_z
Pm1 Pm 0.0000 0.0000 0.5000
Pr1 Pr 0.5000 0.5000 0.5000
Bi1 Bi 0.0000 0.0000 0.0000
Bi2 Bi 0.0000 0.5000 0.5000
# * E_form: -950 meV/atom
# * crystal system: cubic
# * ΔE to the lowest computed polymorph: 0 meV/atom
# * electronic total energy: -5.27 eV per atom
# * calculated volume: 34.23 Å³/atom
# * total moment: 0.00 μB per formula unit

---

(5)
# PmPr3Bi2 (PBE, relaxed)
data_PmPr3Bi2
_space_group_name_H-M_alt 'I b a m'
_space_group_IT_number 72
_space_group_name_Hall '-I 2 2c'
_cell_length_a 7.3388
_cell_length_b 15.1340
_cell_length_c 8.0738
_cell_angle_alpha 90.00
_cell_angle_beta 90.00
_cell_angle_gamma 90.00
loop_
_atom_site_label
_atom_site_type_symbol
_atom_site_fract_x
_atom_site_fract_y
_atom_site_fract_z
Pm1 Pm 0.0000 0.0000 0.0000
Pr1 Pr 0.0000 0.2023 0.2500
Pr2 Pr 0.0000 0.5000 0.2500
Bi1 Bi 0.1667 0.3522 0.0000
# * E_form: -440 meV/atom
# * crystal system: orthorhombic
# * ΔE to the lowest computed polymorph: 221 meV/atom
# * electronic total energy: -4.92 eV per atom
# * calculated volume: 37.36 Å³/atom
# * total moment: 0.23 μB per formula unit

---

(6)
# PmPr2Bi (PBE, relaxed)
data_PmPr2Bi
_space_group_name_H-M_alt 'C m c m'
_space_group_IT_number 63
_space_group_name_Hall '-C 2c 2'
_cell_length_a 4.7302
_cell_length_b 24.0620
_cell_length_c 4.7267
_cell_angle_alpha 90.00
_cell_angle_beta 90.00
_cell_angle_gamma 90.00
loop_
_atom_site_label
_atom_site_type_symbol
_atom_site_fract_x
_atom_site_fract_y
_atom_site_fract_z
Pm1 Pm 0.0000 0.1945 0.2500
Pr1 Pr 0.0000 0.0667 0.7500
Pr2 Pr 0.0000 0.4401 0.7500
Bi1 Bi 0.0000 0.3290 0.2500
# * E_form: -441 meV/atom
# * crystal system: orthorhombic
# * ΔE to the lowest computed polymorph: 0 meV/atom
# * electronic total energy: -4.99 eV per atom
# * calculated volume: 33.62 Å³/atom
# * total moment: 0.00 μB per formula unit

---

(7)
# Pm4Pr3Bi8 (PBE, relaxed)
data_Pm4Pr3Bi8
_space_group_name_H-M_alt 'C 1 2/m 1'
_space_group_IT_number 12
_cell_length_a 12.9758
_cell_length_b 12.9792
_cell_length_c 9.1500
_cell_angle_alpha 90.00
_cell_angle_beta 134.82
_cell_angle_gamma 90.00
loop_
_space_group_symop_operation_xyz
'x,y,z'
'-x,-y,-z'
'-x,y,-z'
'x,-y,z'
'x+1/2,y+1/2,z'
'-x+1/2,-y+1/2,-z'
'-x+1/2,y+1/2,-z'
'x+1/2,-y+1/2,z'
loop_
_atom_site_label
_atom_site_type_symbol
_atom_site_fract_x
_atom_site_fract_y
_atom_site_fract_z
Pm1 Pm 0.0000 0.0000 0.0000
Pm2 Pm 0.0000 0.0000 0.5000
Pm3 Pm 0.2500 0.2500 0.0000
Pr1 Pr 0.0000 0.5000 0.5000
Pr2 Pr 0.2500 0.2500 0.5000
Bi1 Bi 0.0000 0.2488 0.5000
Bi2 Bi 0.0000 0.2528 0.0000
Bi3 Bi 0.2485 0.5000 0.0032
Bi4 Bi 0.2489 0.5000 0.4947
# * E_form: -738 meV/atom
# * crystal system: monoclinic
# * electronic total energy: -5.03 eV per atom
# * calculated volume: 36.44 Å³/atom
# * total moment: 0.00 μB per formula unit

---

(8)
# PmPr3Bi2 (PBE, relaxed)
data_PmPr3Bi2
_space_group_name_H-M_alt 'P -4 m 2'
_space_group_IT_number 115
_cell_length_a 4.6895
_cell_length_b 4.6895
_cell_length_c 9.0826
_cell_angle_alpha 90.00
_cell_angle_beta 90.00
_cell_angle_gamma 90.00
loop_
_space_group_symop_operation_xyz
'x,y,z'
'y,-x,-z'
'-x,-y,z'
'-y,x,-z'
'-x,y,z'
'-y,-x,-z'
'x,-y,z'
'y,x,-z'
loop_
_atom_site_label
_atom_site_type_symbol
_atom_site_fract_x
_atom_site_fract_y
_atom_site_fract_z
Pm1 Pm 0.0000 0.0000 0.0000
Pr1 Pr 0.0000 0.5000 0.3541
Pr2 Pr 0.5000 0.5000 0.0000
Bi1 Bi 0.0000 0.5000 0.7208
# * E_form: -662 meV/atom
# * crystal system: tetragonal
# * ΔE to the lowest computed polymorph: 0 meV/atom
# * electronic total energy: -5.14 eV per atom
# * calculated volume: 33.29 Å³/atom
# * total moment: 0.00 μB per formula unit

---

(9)
# PmPr3Bi4 (PBE, relaxed)
data_PmPr3Bi4
_space_group_name_H-M_alt 'P m -3 m'
_space_group_IT_number 221
_space_group_name_Hall '-P 4 2 3'
_cell_length_a 6.5387
_cell_length_b 6.5387
_cell_length_c 6.5387
_cell_angle_alpha 90.00
_cell_angle_beta 90.00
_cell_angle_gamma 90.00
loop_
_atom_site_label
_atom_site_type_symbol
_atom_site_fract_x
_atom_site_fract_y
_atom_site_fract_z
Pm1 Pm 0.0000 0.0000 0.0000
Pr1 Pr 0.0000 0.5000 0.5000
Bi1 Bi 0.0000 0.0000 0.5000
Bi2 Bi 0.5000 0.5000 0.5000
# * E_form: -960 meV/atom
# * crystal system: cubic
# * ΔE to the lowest computed polymorph: 0 meV/atom
# * electronic total energy: -5.29 eV per atom
# * calculated volume: 34.94 Å³/atom
# * total moment: 0.00 μB per formula unit

---

(10)
# Pm5Pr8Bi (PBE, relaxed)
data_Pm5Pr8Bi
_space_group_name_H-M_alt 'C 1 2 1'
_space_group_IT_number 5
_cell_length_a 13.1399
_cell_length_b 9.1340
_cell_length_c 9.7763
_cell_angle_alpha 90.00
_cell_angle_beta 121.26
_cell_angle_gamma 90.00
loop_
_space_group_symop_operation_xyz
'x,y,z'
'-x,y,-z'
'x+1/2,y+1/2,z'
'-x+1/2,y+1/2,-z'
loop_
_atom_site_label
_atom_site_type_symbol
_atom_site_fract_x
_atom_site_fract_y
_atom_site_fract_z
Pm1 Pm 0.0000 0.0000 0.0000
Pm2 Pm 0.0882 0.6324 0.9400
Pm3 Pm 0.1268 0.3586 0.2819
Pr1 Pr 0.0670 0.9561 0.7041
Pr2 Pr 0.1618 0.5813 0.6488
Pr3 Pr 0.1672 0.2963 0.9378
Pr4 Pr 0.2004 0.7329 0.3399
Bi1 Bi 0.0000 0.2728 0.5000
# * E_form: 76 meV/atom
# * crystal system: monoclinic
# * electronic total energy: -4.63 eV per atom
# * calculated volume: 35.82 Å³/atom
# * total moment: 0.00 μB per formula unit

---

(11)
# Pm2PrBi (PBE, relaxed)
data_Pm2PrBi
_space_group_name_H-M_alt 'P 4/m m m'
_space_group_IT_number 123
_space_group_name_Hall '-P 4 2'
_cell_length_a 5.0067
_cell_length_b 5.0067
_cell_length_c 4.9687
_cell_angle_alpha 90.00
_cell_angle_beta 90.00
_cell_angle_gamma 90.00
loop_
_atom_site_label
_atom_site_type_symbol
_atom_site_fract_x
_atom_site_fract_y
_atom_site_fract_z
Pm1 Pm 0.0000 0.5000 0.0000
Pr1 Pr 0.0000 0.0000 0.5000
Bi1 Bi 0.5000 0.5000 0.5000
# * E_form: -430 meV/atom
# * crystal system: tetragonal
# * ΔE to the lowest computed polymorph: 32 meV/atom
# * electronic total energy: -4.97 eV per atom
# * calculated volume: 31.14 Å³/atom
# * total moment: 0.00 μB per formula unit

---

(12)
# PmPrBi (PBE, relaxed)
data_PmPrBi
_space_group_name_H-M_alt 'F -4 3 m'
_space_group_IT_number 216
_space_group_name_Hall 'F -4 2 3'
_cell_length_a 7.5565
_cell_length_b 7.5565
_cell_length_c 7.5565
_cell_angle_alpha 90.00
_cell_angle_beta 90.00
_cell_angle_gamma 90.00
loop_
_atom_site_label
_atom_site_type_symbol
_atom_site_fract_x
_atom_site_fract_y
_atom_site_fract_z
Pm1 Pm 0.0000 0.0000 0.0000
Pr1 Pr 0.0000 0.0000 0.5000
Bi1 Bi 0.2500 0.2500 0.7500
# * E_form: -440 meV/atom
# * crystal system: cubic
# * ΔE to the lowest computed polymorph: 239 meV/atom
# * electronic total energy: -4.91 eV per atom
# * calculated volume: 35.96 Å³/atom
# * total moment: 0.00 μB per formula unit

---

> Which value of electronic total energy does entry 2 give?

-5.21 eV per atom

---

> Look up the E_form of the eighth one.

-662 meV/atom

---

> Look up the calculated volume of the second one.

32.24 Å³/atom

---

Please write out number 9 again, unchanged.
# PmPr3Bi4 (PBE, relaxed)
data_PmPr3Bi4
_space_group_name_H-M_alt 'P m -3 m'
_space_group_IT_number 221
_space_group_name_Hall '-P 4 2 3'
_cell_length_a 6.5387
_cell_length_b 6.5387
_cell_length_c 6.5387
_cell_angle_alpha 90.00
_cell_angle_beta 90.00
_cell_angle_gamma 90.00
loop_
_atom_site_label
_atom_site_type_symbol
_atom_site_fract_x
_atom_site_fract_y
_atom_site_fract_z
Pm1 Pm 0.0000 0.0000 0.0000
Pr1 Pr 0.0000 0.5000 0.5000
Bi1 Bi 0.0000 0.0000 0.5000
Bi2 Bi 0.5000 0.5000 0.5000
# * E_form: -960 meV/atom
# * crystal system: cubic
# * ΔE to the lowest computed polymorph: 0 meV/atom
# * electronic total energy: -5.29 eV per atom
# * calculated volume: 34.94 Å³/atom
# * total moment: 0.00 μB per formula unit